Entry 1:
TbPu3S4 | PBE | optimized geometry

Output
DFT total energy = -9.849 eV/atom
Magnetization = 17.076 μB per formula unit
Volume = 173.40 Å³/cell

Unit cell a=5.5764 b=5.5764 c=5.5764 alpha=90.00 beta=90.00 gamma=90.00
Fractional coordinates of all 8 atoms:
S 0.5000 0.0000 0.0000
S 0.5000 0.5000 0.5000
S 0.0000 0.0000 0.5000
S 0.0000 0.5000 0.0000
Pu 0.5000 0.5000 0.0000
Pu 0.5000 0.0000 0.5000
Pu 0.0000 0.5000 0.5000
Tb 0.0000 0.0000 0.0000

---

Entry 2:
TmPuS2 | PBE | optimized geometry

Output
DFT total energy = -8.641 eV/atom
Magnetization = 5.781 μB per formula unit
Volume = 166.83 Å³/cell

Unit cell a=3.8841 b=5.5087 c=7.7972 alpha=90.00 beta=90.00 gamma=90.00
Fractional coordinates of all 8 atoms:
Tm 0.0000 0.0000 0.1258
Tm 0.5000 0.5000 0.8742
Pu 0.0000 0.0000 0.6258
Pu 0.5000 0.5000 0.3742
S 0.0000 0.5000 0.1167
S 0.5000 0.0000 0.3707
S 0.5000 0.0000 0.8833
S 0.0000 0.5000 0.6293

---

- Which of these has the highest magnetization?
  TbPu3S4

---

- Which of these has the lowest DFT total energy?
  TbPu3S4

---

- Which of these has the highest DFT total energy?
  TmPuS2